[1]
A relaxed structure of MgIrRh2C, computed with PBE-GGA.

Summary:
Energy of formation, meV per atom: -177
Crystal system: tetragonal

a = 4.1049 Å, b = 4.1049 Å, c = 4.0438 Å
α = 90.00°, β = 90.00°, γ = 90.00°
With the nearest neighbours (Å) after each atom.
Space group P4/mmm (No. 123)
Symmetry-distinct sites (fractional):
1 Mg 0.0000 0.0000 0.0000 [1 per cell]  8 Rh 2.88, 4 Ir 2.90
2 Ir 0.5000 0.5000 0.0000 [1 per cell]  2 C 2.02
3 Rh 0.0000 0.5000 0.5000 [2 per cell]  2 C 2.05
4 C 0.5000 0.5000 0.5000 [1 per cell]  2 Ir 2.02, 4 Rh 2.05



[2]
A relaxed structure of Ga5Co4Pd, computed with PBE-GGA.

Summary:
Energy of formation, meV per atom: -328
Crystal system: tetragonal

a = 2.8217 Å, b = 2.8217 Å, c = 15.7739 Å
α = 90.00°, β = 90.00°, γ = 90.00°
With the nearest neighbours (Å) after each atom.
Space group P4/mmm (No. 123)
Symmetry-distinct sites (fractional):
1 Ga 0.0000 0.0000 0.0000 [1 per cell]  8 Co 2.49
2 Ga 0.0000 0.0000 0.1898 [2 per cell]  8 Co 2.50
3 Ga 0.0000 0.0000 0.3819 [2 per cell]  4 Co 2.51, 4 Pd 2.73
4 Co 0.5000 0.5000 0.0945 [2 per cell]  8 Ga 2.49-2.50
5 Co 0.5000 0.5000 0.2857 [2 per cell]  8 Ga 2.50-2.51
6 Pd 0.5000 0.5000 0.5000 [1 per cell]  8 Ga 2.73, 4 Pd 2.82



[3]
A relaxed structure of PuBiF, computed with PBE-GGA.

Summary:
Energy above the lowest structure with this stoichiometry, meV per atom: 120
Crystal system: tetragonal
Formation energy without anion corrections, eV per atom: -1.538

a = 3.4043 Å, b = 3.4043 Å, c = 12.0801 Å
α = 90.00°, β = 90.00°, γ = 90.00°
With the nearest neighbours (Å) after each atom.
Space group I4mm (No. 107)
Symmetry-distinct sites (fractional):
1 Pu 0.0000 0.0000 0.0000 [2 per cell]  4 F 2.54
2 Bi 0.0000 0.0000 0.2915 [2 per cell]  5 F 3.33-3.62, 4 Bi 3.40, 5 Pu 3.48-3.52
3 F 0.0000 0.0000 0.5672 [2 per cell]  4 Pu 2.54



[4]
A relaxed structure of BaPmGaGe, computed with PBE-GGA.

Summary:
Energy of formation, meV per atom: -349
Crystal system: cubic

a = 7.7145 Å, b = 7.7145 Å, c = 7.7145 Å
α = 90.00°, β = 90.00°, γ = 90.00°
With the nearest neighbours (Å) after each atom.
Space group F-43m (No. 216)
Symmetry-distinct sites (fractional):
1 Ba 0.0000 0.0000 0.0000 [4 per cell]  4 Ge 3.34, 4 Ga 3.34
2 Pm 0.0000 0.0000 0.5000 [4 per cell]  4 Ge 3.34, 4 Ga 3.34
3 Ga 0.2500 0.2500 0.2500 [4 per cell]  4 Ba 3.34, 4 Pm 3.34
4 Ge 0.2500 0.2500 0.7500 [4 per cell]  4 Ba 3.34, 4 Pm 3.34



[5]
A relaxed structure of LaErN2, computed with PBE-GGA.

Summary:
Crystal system: trigonal
Formation energy without anion corrections, eV per atom: -1.365

a = 3.4896 Å, b = 3.4896 Å, c = 18.2739 Å
α = 90.00°, β = 90.00°, γ = 120.00°
With the nearest neighbours (Å) after each atom.
Space group R3m (No. 160, hexagonal axes)
Symmetry-distinct sites (fractional):
1 La 0.0000 0.0000 0.0000 [3 per cell]  6 N 2.55-2.66
2 Er 0.0000 0.0000 0.8301 [3 per cell]  6 N 2.44-2.47
3 N 0.0000 0.0000 0.2386 [3 per cell]  3 Er 2.44, 3 La 2.66
4 N 0.0000 0.0000 0.4186 [3 per cell]  3 Er 2.47, 3 La 2.55



[6]
A relaxed structure of HgPt2Br, computed with PBE-GGA.

Summary:
Energy above the lowest structure with this stoichiometry, meV per atom: 62
Crystal system: monoclinic
Formation energy without anion corrections, eV per atom: 0.207

a = 14.5924 Å, b = 2.9782 Å, c = 4.2494 Å
α = 90.00°, β = 90.69°, γ = 90.00°
With the nearest neighbours (Å) after each atom.
Space group Cm (No. 8)
Symmetry-distinct sites (fractional):
1 Hg 0.0000 0.0000 0.0000 [2 per cell]  8 Pt 2.89-2.93, 2 Hg 2.98
2 Pt 0.0916 0.5000 0.4995 [2 per cell]  1 Pt 2.62, 2 Br 2.70, 4 Hg 2.91-2.93
3 Pt 0.4120 0.0000 0.4983 [2 per cell]  1 Br 2.48, 1 Pt 2.62
4 Br 0.2442 0.0000 0.5828 [2 per cell]  3 Pt 2.48-2.70



[7]
A relaxed structure of Ce2Pr5S12, computed with PBE-GGA.

Summary:
Crystal system: monoclinic
Formation energy without anion corrections, eV per atom: -1.802

a = 15.6391 Å, b = 7.6713 Å, c = 9.1826 Å
α = 90.00°, β = 108.10°, γ = 90.00°
With the nearest neighbours (Å) after each atom.
Space group C2/m (No. 12)
Symmetry-distinct sites (fractional):
1 Ce 0.0000 0.2493 0.0000 [4 per cell]  6 S 2.65-2.74
2 Pr 0.0000 0.5000 0.5000 [2 per cell]  6 S 2.77-2.95
3 Pr 0.1882 0.0000 0.8262 [4 per cell]  7 S 2.89-3.05
4 Pr 0.2054 0.0000 0.3638 [4 per cell]  7 S 2.90-3.04
5 S 0.0028 0.0000 0.2146 [4 per cell]  2 Ce 2.74, 2 Pr 2.89-3.04
6 S 0.0090 0.5000 0.8063 [4 per cell]  2 Ce 2.65, 1 Pr 2.77
7 S 0.1491 0.2473 0.5656 [8 per cell]  4 Pr 2.90-2.97
8 S 0.1788 0.2261 0.0935 [8 per cell]  1 Ce 2.66, 2 Pr 2.89-2.95



[8]
A relaxed structure of Tb3DyY5, computed with PBE-GGA.

Summary:
Energy of formation, meV per atom: 53
Energy above the lowest structure with this stoichiometry, meV per atom: 0
Crystal system: hexagonal

a = 9.7412 Å, b = 9.7412 Å, c = 7.0425 Å
α = 90.00°, β = 90.00°, γ = 120.00°
With the nearest neighbours (Å) after each atom.
Space group P6_3/mcm (No. 193)
Symmetry-distinct sites (fractional):
1 Tb 0.0000 0.3583 0.2500 [6 per cell]  9 Y 3.26-3.59
2 Dy 0.0000 0.0000 0.0000 [2 per cell]  6 Y 3.47, 2 Dy 3.52
3 Y 0.0000 0.3074 0.7500 [6 per cell]  5 Tb 3.26-3.56, 2 Dy 3.47
4 Y 0.3333 0.6667 0.0000 [4 per cell]  8 Y 3.52-3.81, 6 Tb 3.59



Please write out number 6 again, unchanged.
A relaxed structure of HgPt2Br, computed with PBE-GGA.

Summary:
Energy above the lowest structure with this stoichiometry, meV per atom: 62
Crystal system: monoclinic
Formation energy without anion corrections, eV per atom: 0.207

a = 14.5924 Å, b = 2.9782 Å, c = 4.2494 Å
α = 90.00°, β = 90.69°, γ = 90.00°
With the nearest neighbours (Å) after each atom.
Space group Cm (No. 8)
Symmetry-distinct sites (fractional):
1 Hg 0.0000 0.0000 0.0000 [2 per cell]  8 Pt 2.89-2.93, 2 Hg 2.98
2 Pt 0.0916 0.5000 0.4995 [2 per cell]  1 Pt 2.62, 2 Br 2.70, 4 Hg 2.91-2.93
3 Pt 0.4120 0.0000 0.4983 [2 per cell]  1 Br 2.48, 1 Pt 2.62
4 Br 0.2442 0.0000 0.5828 [2 per cell]  3 Pt 2.48-2.70



What is the formula in the third record? PuBiF